10
Lattice="6.417 0.000 0.000 0.000 6.417 0.000 0.000 0.000 2.910" Properties=species:S:1:pos:R:3 comment="Be2CdRh2 SCAN PBEsol geometry" vol_a3_per_atom=11.98 n_ef_per_ev_atom=0.274 spacegroup="P4/mbm (127)" total_energy_ev_per_fu=-109.38 formation_enthalpy_0k_ev_per_fu=-2.7 pbc="T T T"
Be 0.794 2.414 0.000
Be 2.414 5.622 0.000
Be 4.002 0.794 0.000
Be 5.622 4.002 0.000
Cd 0.000 0.000 0.000
Cd 3.208 3.208 0.000
Rh 1.030 4.238 1.455
Rh 2.178 1.030 1.455
Rh 4.238 5.386 1.455
Rh 5.386 2.178 1.455


5
Lattice="4.592 0.000 0.000 0.000 4.592 0.000 0.000 0.000 4.592" Properties=species:S:1:pos:R:3 comment="Cd3HCl SCAN PBEsol geometry" vol_a3_per_atom=19.36 n_ef_per_ev_atom=0.314 spacegroup="Pm-3m (221)" total_energy_ev_per_fu=-101.80 pbc="T T T"
Cd 0.000 0.000 2.296
Cd 0.000 2.296 0.000
Cd 2.296 0.000 0.000
H 0.000 0.000 0.000
Cl 2.296 2.296 2.296